No. 1
Below is a relaxed structure of NaLi2AcTl4, with properties calculated at the PBE level.

a b c (Å): 5.1327 5.1327 28.4267
angles (deg): 90.00 90.00 120.00
Space group R-3m (No. 166, hexagonal axes)
Symmetry-distinct sites (fractional):
Na (0.0000, 0.0000, 0.0000) x3
Li (0.0000, 0.0000, 0.2585) x6
Ac (0.0000, 0.0000, 0.5000) x3
Tl (0.0000, 0.0000, 0.1092) x6
Tl (0.0000, 0.0000, 0.3756) x6

Values from the calculation:
The electronic total energy comes out at -2.5527 eV/atom.

No. 2
Below is a relaxed structure of NaLiAc2Tl6, with properties calculated at the PBE level.

a b c (Å): 7.2961 7.2961 38.6160
angles (deg): 90.00 90.00 120.00
Space group R-3m (No. 166, hexagonal axes)
Symmetry-distinct sites (fractional):
Na (0.0000, 0.0000, 0.0752) x6
Li (0.0000, 0.0000, 0.0000) x3
Li (0.0000, 0.0000, 0.5000) x3
Ac (0.0000, 0.0000, 0.2177) x6
Ac (0.0000, 0.0000, 0.3914) x6
Tl (0.0286, 0.5143, 0.8001) x18
Tl (0.0520, 0.5260, 0.3647) x18

Values from the calculation:
The electronic total energy comes out at -2.7375 eV/atom.

No. 3
Below is a relaxed structure of NaLiAcTl, with properties calculated at the PBE level.

a b c (Å): 7.866 7.866 7.866
angles (deg): 90.00 90.00 90.00
Space group F-43m (No. 216)
Symmetry-distinct sites (fractional):
Na (0.000, 0.000, 0.000) x4
Li (0.250, 0.250, 0.250) x4
Ac (0.000, 0.000, 0.500) x4
Tl (0.250, 0.250, 0.750) x4

Values from the calculation:
The electronic total energy comes out at -2.5308 eV/atom.

No. 4
Below is a relaxed structure of Na2Li2Ac3Tl4, with properties calculated at the PBE level.

a b c (Å): 5.1423 5.1423 15.7976
angles (deg): 90.00 90.00 120.00
Space group P-3m1 (No. 164)
Symmetry-distinct sites (fractional):
Na (0.3333, 0.6667, 0.0622) x2
Li (0.3333, 0.6667, 0.6317) x2
Ac (0.0000, 0.0000, 0.2526) x2
Ac (0.0000, 0.0000, 0.5000) x1
Tl (0.3333, 0.6667, 0.3770) x2
Tl (0.3333, 0.6667, 0.8489) x2

Values from the calculation:
The electronic total energy comes out at -2.7326 eV/atom.